The following is a PBE calculation of crystalline LiCaFe2 at its relaxed geometry, from Alexandria. Values from VASP.

## Properties
- final energy (eV for the cell shown) = -18.34
- crystal system = orthorhombic
- mass density (g/cm3) = 3.99

Quantum ESPRESSO input file:
```
&SYSTEM
  ibrav = 0, nat = 4, ntyp = 3
/
ATOMIC_SPECIES
Fe 55.84 Fe.upf
Li 6.94 Li.upf
Ca 40.08 Ca.upf
ATOMIC_POSITIONS crystal
Fe 0.0000 0.0000 0.0000
Fe 0.5000 0.5000 0.0000
Li 0.5000 0.0000 0.5000
Ca 0.0000 0.5000 0.5000
CELL_PARAMETERS angstrom
-0.0416 4.7476 2.3083
1.8190 -4.2093 2.6159
2.5203 0.4905 -0.9633
```

The following is a PBE calculation of crystalline LiCaFe2 at its relaxed geometry, from Alexandria. Values from VASP.

## Properties
- final energy (eV for the cell shown) = -18.73
- crystal system = monoclinic
- mass density (g/cm3) = 3.69

Quantum ESPRESSO input file:
```
&SYSTEM
  ibrav = 0, nat = 4, ntyp = 3
/
ATOMIC_SPECIES
Ca 40.08 Ca.upf
Fe 55.84 Fe.upf
Li 6.94 Li.upf
ATOMIC_POSITIONS crystal
Ca 0.5000 0.7500 0.7500
Fe 0.0000 0.4526 0.4138
Fe 0.0000 0.0474 0.0862
Li 0.5000 0.2500 0.2500
CELL_PARAMETERS angstrom
-1.8895 -3.8916 0.3725
0.4109 0.0785 2.9040
-4.8113 2.5145 1.8636
```

The following is a PBE calculation of crystalline LiCa2MgFe at its relaxed geometry, from Alexandria. Values from VASP.

## Properties
- final energy (eV for the cell shown) = -10.89
- crystal system = tetragonal
- mass density (g/cm3) = 1.97

Quantum ESPRESSO input file:
```
&SYSTEM
  ibrav = 0, nat = 5, ntyp = 4
/
ATOMIC_SPECIES
Ca 40.08 Ca.upf
Mg 24.30 Mg.upf
Li 6.94 Li.upf
Fe 55.84 Fe.upf
ATOMIC_POSITIONS crystal
Ca 0.0000 0.0000 0.5000
Ca 0.5000 0.0000 0.0000
Mg 0.0000 0.5000 0.0000
Li 0.0000 0.0000 0.0000
Fe 0.5000 0.5000 0.5000
CELL_PARAMETERS angstrom
5.3907 0.0000 0.0000
0.0000 4.8405 0.0000
0.0000 0.0000 5.3907
```